## Ba2TbSnO6 (PBEsol)

Data for a geometry-optimized Ba2TbSnO6 structure.

Output
Total magnetic moment, μB/cell: 0.95
Uncorrected energy, eV per atom: -7.033
Symmetry: No. 225
Raw formation energy, meV/atom: -2526

Cell: 6.039 6.039 6.039 Å, 60.00 60.00 60.00°
Sites, in units of the cell vectors:
Ba (0.250, 0.250, 0.250)
Ba (0.750, 0.750, 0.750)
Tb (0.000, 0.000, 0.000)
Sn (0.500, 0.500, 0.500)
O (0.259, 0.259, 0.741)
O (0.259, 0.741, 0.259)
O (0.259, 0.741, 0.741)
O (0.741, 0.259, 0.259)
O (0.741, 0.259, 0.741)
O (0.741, 0.741, 0.259)